Material: CaDyTh2N4
Method: DFT, PBE-GGA
State: relaxed

Unit cell a=3.624 b=6.273 c=6.162 alpha=109.70 beta=90.00 gamma=90.00
Fractional coordinates of all 8 atoms:
N 0.500 0.246 0.253
N 0.000 0.238 0.735
N 0.500 0.754 0.747
N 0.000 0.762 0.265
Th 0.500 0.000 0.500
Th 0.000 0.500 0.500
Ca 0.500 0.500 0.000
Dy 0.000 0.000 0.000

Computed properties:
Symmetry ... P2/m
Energy ... -66.8 eV for the cell shown
ΔE_f (raw) ... -12.0 eV per formula unit

=====

Material: CaDy2TlN
Method: DFT, PBE-GGA
State: relaxed

Unit cell a=4.873 b=4.836 c=4.836 alpha=90.00 beta=90.00 gamma=90.00
Fractional coordinates of all 5 atoms:
Dy 0.000 0.000 0.500
Dy 0.000 0.500 0.000
N 0.000 0.000 0.000
Ca 0.500 0.000 0.000
Tl 0.500 0.500 0.500

Computed properties:
Symmetry ... P4/mmm
Energy ... -26.3 eV for the cell shown
ΔE_f (raw) ... -4.4 eV per formula unit

=====

Material: Ca3Dy2UN6
Method: DFT, PBE-GGA
State: relaxed

Unit cell a=6.031 b=6.031 c=6.054 alpha=99.59 beta=99.59 gamma=120.01
Fractional coordinates of all 12 atoms:
Ca 0.167 0.833 0.500
Ca 0.500 0.500 0.500
Ca 0.833 0.167 0.500
N 0.383 0.073 0.220
N 0.073 0.383 0.220
N 0.617 0.927 0.780
N 0.764 0.764 0.215
N 0.927 0.617 0.780
N 0.236 0.236 0.785
U 0.000 0.000 0.000
Dy 0.333 0.667 0.000
Dy 0.667 0.333 0.000

Computed properties:
Symmetry ... C2/m
Energy ... -93.9 eV for the cell shown
ΔE_f (raw) ... -17.4 eV per formula unit

=====

Material: Ca2DyUN4
Method: DFT, PBE-GGA
State: relaxed

Unit cell a=3.524 b=5.996 c=6.024 alpha=109.04 beta=90.00 gamma=90.00
Fractional coordinates of all 8 atoms:
N 0.500 0.737 0.786
N 0.000 0.273 0.782
N 0.500 0.263 0.214
N 0.000 0.727 0.218
U 0.500 0.500 0.000
Ca 0.500 0.000 0.500
Ca 0.000 0.500 0.500
Dy 0.000 0.000 0.000

Computed properties:
Symmetry ... P2/m
Energy ... -64.5 eV for the cell shown
ΔE_f (raw) ... -11.3 eV per formula unit

=====

Material: Ca4DyU3N8
Method: DFT, PBE-GGA
State: relaxed

Unit cell a=6.984 b=6.988 c=6.984 alpha=119.98 beta=120.00 gamma=90.00
Fractional coordinates of all 16 atoms:
N 0.723 0.713 0.968
N 0.261 0.283 0.522
N 0.755 0.287 0.032
N 0.245 0.713 0.490
N 0.755 0.287 0.510
N 0.245 0.713 0.968
N 0.277 0.287 0.032
N 0.739 0.717 0.478
U 0.000 0.500 0.500
U 0.500 0.500 0.000
U 0.500 0.500 0.500
Ca 0.500 0.000 0.000
Ca 0.500 0.000 0.500
Ca 0.000 0.000 0.500
Ca 0.000 0.000 0.000
Dy 0.000 0.500 0.000

Computed properties:
Symmetry ... R-3m
Energy ... -134.6 eV for the cell shown
ΔE_f (raw) ... -21.6 eV per formula unit

=====

Material: Ca2DyWN4
Method: DFT, PBE-GGA
State: relaxed

Unit cell a=3.283 b=5.761 c=5.886 alpha=108.70 beta=90.00 gamma=90.00
Fractional coordinates of all 8 atoms:
Dy 0.500 0.500 0.000
N 0.500 0.779 0.783
N 0.000 0.224 0.788
N 0.000 0.776 0.212
N 0.500 0.221 0.217
W 0.000 0.000 0.000
Ca 0.500 0.000 0.500
Ca 0.000 0.500 0.500

Computed properties:
Symmetry ... P2/m
Energy ... -63.3 eV for the cell shown
ΔE_f (raw) ... -8.4 eV per formula unit

=====

Material: Ca3Dy2WN6
Method: DFT, PBE-GGA
State: relaxed

Unit cell a=5.843 b=5.843 c=5.931 alpha=99.49 beta=99.49 gamma=120.00
Fractional coordinates of all 12 atoms:
Ca 0.163 0.837 0.500
Ca 0.837 0.163 0.500
Ca 0.500 0.500 0.500
Dy 0.667 0.333 0.000
Dy 0.333 0.667 0.000
N 0.371 0.072 0.217
N 0.072 0.371 0.217
N 0.227 0.227 0.786
N 0.928 0.629 0.783
N 0.773 0.773 0.214
N 0.629 0.928 0.783
W 0.000 0.000 0.000

Computed properties:
Symmetry ... C2/m
Energy ... -92.4 eV for the cell shown
ΔE_f (raw) ... -14.3 eV per formula unit

=====

Material: CaDyZnN2
Method: DFT, PBE-GGA
State: relaxed

Unit cell a=5.357 b=5.248 c=6.483 alpha=90.01 beta=90.00 gamma=90.00
Fractional coordinates of all 10 atoms:
N 0.732 0.228 0.500
N 0.268 0.228 0.000
N 0.732 0.772 0.000
N 0.268 0.772 0.500
Zn 0.000 0.000 0.000
Zn 0.000 0.000 0.500
Ca 0.000 0.500 0.250
Ca 0.000 0.500 0.750
Dy 0.500 0.000 0.250
Dy 0.500 0.000 0.750

Computed properties:
Symmetry ... P2/c
Energy ... -55.1 eV for the cell shown
ΔE_f (raw) ... -3.0 eV per formula unit